Entry 1:
Below is a relaxed Nd7Er3Tm2 crystal, with properties calculated at the GGA-PBE level.

The space group is P2/m (No. 10) and the conventional cell measures 5.857, 3.613 and 19.019 Å, with angles of 90.00, 93.99 and 90.00 degrees. The distinct sites, in fractional coordinates, are Nd at (0.000, 0.000, 0.000), Nd at (0.174, 0.500, 0.185), Nd at (0.258, 0.500, 0.534), Nd at (0.329, 0.000, 0.854), Er at (0.216, 0.000, 0.367), Er at (0.500, 0.500, 0.000) and Tm at (0.296, 0.500, 0.702).

For the mass density, the calculation gives 7.6 g/cm³. As for the electronic total energy: -54.9 eV/cell. As for the density of states at the Fermi level: 16.70 states/eV/cell.

***

Entry 2:
Below is a relaxed Tb6DyZr crystal, with properties calculated at the GGA-PBE level.

The space group is C2/m (No. 12) and the conventional cell measures 6.524, 11.319 and 6.625 Å, with angles of 90.00, 90.15 and 90.00 degrees. The distinct sites, in fractional coordinates, are Tb at (0.058, 0.000, 0.244), Tb at (0.219, 0.279, 0.244), Dy at (0.000, 0.500, 0.500) and Zr at (0.000, 0.500, 0.000).

For the mass density, the calculation gives 8.2 g/cm³. As for the electronic total energy: -78.2 eV/cell. As for the density of states at the Fermi level: 25.05 states/eV/cell.

***

The lowest electronic total energy belongs to which entry? Tb6DyZr